ZrSc2Co PBE relaxed; polymorph energy (0 for the lowest one) = 312.0 meV per atom; SG = F-43m (216); crystal system = cubic; calculated total energy = -27.9 eV/cell; formation enthalpy at 0 K = 0.0986 eV/atom
1.0
0.0000 3.3568 3.3568
3.3568 0.0000 3.3568
3.3568 3.3568 0.0000
Zr Sc Co
1 2 1
Cartesian
0.0000 0.0000 0.0000 Zr
3.3568 3.3568 3.3568 Sc
5.0352 5.0352 5.0352 Sc
1.6784 1.6784 1.6784 Co


LiRuN2O PBE relaxed; SG = P4/mmm (123); formation energy from raw total energies = 1504 meV per atom; crystal system = tetragonal; calculated total energy = -25.3 eV/cell
1.0
3.5305 0.0000 0.0000
0.0000 3.5305 0.0000
0.0000 0.0000 3.4827
Li Ru N O
1 1 2 1
Cartesian
0.0000 0.0000 0.0000 Li
1.7652 1.7652 1.7414 Ru
0.0000 1.7652 0.0000 N
1.7652 0.0000 0.0000 N
0.0000 0.0000 1.7414 O


KYHf PBE relaxed; polymorph energy (0 for the lowest one) = 62.4 meV per atom; SG = C2/m (12); crystal system = monoclinic; calculated total energy = -32.8 eV/cell; formation enthalpy at 0 K = 0.3748 eV/atom
1.0
4.2618 -2.4608 0.0000
4.2618 2.4608 0.0000
-0.0167 0.0000 12.3710
K Y Hf
2 2 2
Cartesian
1.4186 0.0000 4.4102 K
7.0882 0.0000 7.9607 K
4.2427 0.0000 10.7342 Y
4.2641 0.0000 1.6368 Y
1.4018 0.0000 12.3634 Hf
7.1050 0.0000 0.0076 Hf


TlTe3Ir PBE relaxed; polymorph energy (0 for the lowest one) = 1809.1 meV per atom; SG = Pm-3m (221); formation energy from raw total energies = 1680 meV per atom; crystal system = cubic; calculated total energy = -12.3 eV/cell
1.0
5.6459 0.0000 0.0000
0.0000 5.6459 0.0000
0.0000 0.0000 5.6459
Tl Te Ir
1 3 1
Cartesian
0.0000 0.0000 0.0000 Tl
0.0000 0.0000 2.8229 Te
0.0000 2.8229 0.0000 Te
2.8229 0.0000 0.0000 Te
2.8229 2.8229 2.8229 Ir


Te2MoAu PBE relaxed; polymorph energy (0 for the lowest one) = 21.2 meV per atom; SG = R-3m (166); formation energy from raw total energies = 122 meV per atom; crystal system = trigonal; calculated total energy = -19.9 eV/cell
1.0
1.7658 1.0195 8.2968
-1.7658 1.0195 8.2968
0.0000 -2.0390 8.2968
Te Mo Au
2 1 1
Cartesian
0.0000 0.0000 6.0175 Te
0.0000 0.0000 18.8730 Te
0.0000 0.0000 12.4452 Mo
0.0000 0.0000 0.0000 Au


YCuIr2 PBE relaxed; polymorph energy (0 for the lowest one) = 233.6 meV per atom; SG = F-43m (216); crystal system = cubic; calculated total energy = -28.5 eV/cell; formation enthalpy at 0 K = -0.0570 eV/atom
1.0
0.0000 3.2394 3.2394
3.2394 0.0000 3.2394
3.2394 3.2394 0.0000
Y Cu Ir
1 1 2
Cartesian
0.0000 0.0000 0.0000 Y
4.8591 4.8591 4.8591 Cu
1.6197 1.6197 1.6197 Ir
3.2394 3.2394 3.2394 Ir


Pu4GeTe2Se PBE relaxed; SG = P2/m (10); formation energy from raw total energies = -969 meV per atom; crystal system = monoclinic; calculated total energy = -79.5 eV/cell
1.0
7.4190 0.0000 0.0000
0.0000 4.2892 0.0000
-2.5175 0.0000 7.0625
Pu Ge Te Se
4 1 2 1
Cartesian
1.2109 0.0000 1.6188 Pu
-0.0577 2.1446 5.4594 Pu
4.9592 2.1446 1.6031 Pu
3.6906 0.0000 5.4437 Pu
0.0000 2.1446 0.0000 Ge
-1.2587 0.0000 3.5313 Te
2.4507 2.1446 3.5313 Te
3.7095 0.0000 0.0000 Se


Cu2AgMo PBE relaxed; polymorph energy (0 for the lowest one) = 172.3 meV per atom; SG = Cm (8); crystal system = monoclinic; calculated total energy = -20.4 eV/cell; formation enthalpy at 0 K = 0.3753 eV/atom
1.0
4.8412 -1.3256 0.0000
4.8412 1.3256 0.0000
-1.3647 0.0000 4.5115
Cu Ag Mo
2 1 1
Cartesian
0.0000 0.0000 0.0000 Cu
6.4674 0.0000 1.4351 Cu
3.8928 0.0000 2.2016 Ag
1.2754 0.0000 3.8003 Mo


La4InHgN PBE relaxed; SG = Cmcm (63); formation energy from raw total energies = -666 meV per atom; crystal system = orthorhombic; calculated total energy = -71.5 eV/cell
1.0
3.6668 -7.8115 0.0000
3.6668 7.8115 0.0000
0.0000 0.0000 7.3317
La In Hg N
8 2 2 2
Cartesian
1.8334 3.9058 0.0000 La
1.8334 3.9058 3.6658 La
3.6668 6.5149 5.4988 La
3.6668 1.3775 5.4988 La
1.8334 -3.9058 0.0000 La
1.8334 -3.9058 3.6658 La
3.6668 -1.3775 1.8329 La
3.6668 -6.5149 1.8329 La
3.6668 1.8550 1.8329 In
3.6668 -1.8550 5.4988 In
3.6668 5.9468 1.8329 Hg
3.6668 -5.9468 5.4988 Hg
3.6668 3.9191 5.4988 N
3.6668 -3.9191 1.8329 N


CeNdGaGe PBE relaxed; polymorph energy (0 for the lowest one) = 139.1 meV per atom; SG = F-43m (216); crystal system = cubic; calculated total energy = -20.5 eV/cell; formation enthalpy at 0 K = -0.5334 eV/atom
1.0
0.0000 3.6712 3.6712
3.6712 0.0000 3.6712
3.6712 3.6712 0.0000
Ce Nd Ga Ge
1 1 1 1
Cartesian
0.0000 0.0000 0.0000 Ce
3.6712 3.6712 3.6712 Nd
5.5068 5.5068 5.5068 Ga
1.8356 1.8356 1.8356 Ge


BeAl2Pd2 PBE relaxed; polymorph energy (0 for the lowest one) = 119.9 meV per atom; SG = P4/mbm (127); crystal system = tetragonal; calculated total energy = -47.3 eV/cell; formation enthalpy at 0 K = -0.4078 eV/atom
1.0
6.9482 0.0000 0.0000
0.0000 6.9482 0.0000
0.0000 0.0000 3.0330
Be Al Pd
2 4 4
Cartesian
0.0000 0.0000 0.0000 Be
3.4741 3.4741 0.0000 Be
0.9793 2.4948 0.0000 Al
2.4948 5.9690 0.0000 Al
4.4534 0.9793 0.0000 Al
5.9690 4.4534 0.0000 Al
1.0935 4.5677 1.5165 Pd
2.3806 1.0935 1.5165 Pd
4.5677 5.8547 1.5165 Pd
5.8547 2.3806 1.5165 Pd


Pu2H2N PBE relaxed; SG = Pbcm (57); crystal system = orthorhombic; calculated total energy = -186.2 eV/cell
1.0
9.9468 0.0000 0.0000
0.0000 5.3925 0.0000
0.0000 0.0000 5.5257
Pu H N
8 8 4
Cartesian
1.1716 0.0801 1.3814 Pu
1.1716 2.6162 4.1442 Pu
3.6208 0.0655 4.1442 Pu
3.6208 2.6308 1.3814 Pu
6.3260 2.7617 4.1442 Pu
6.3260 5.3271 1.3814 Pu
8.7752 2.7763 1.3814 Pu
8.7752 5.3125 4.1442 Pu
2.3741 4.0444 0.0000 H
2.3741 4.0444 2.7628 H
4.9337 4.0444 0.0000 H
4.9337 4.0444 2.7628 H
5.0131 1.3481 0.0000 H
5.0131 1.3481 2.7628 H
7.5727 1.3481 0.0000 H
7.5727 1.3481 2.7628 H
2.3003 1.3481 0.0000 N
2.3003 1.3481 2.7628 N
7.6465 4.0444 0.0000 N
7.6465 4.0444 2.7628 N


Tl3In11 PBE relaxed; SG = Immm (71); crystal system = orthorhombic; calculated total energy = -36.7 eV/cell; formation enthalpy at 0 K = 0.0372 eV/atom
1.0
-2.6087 5.4207 7.2252
2.6087 -5.4207 7.2252
2.6087 5.4207 -7.2252
Tl In
3 11
Cartesian
0.0000 0.0000 0.0000 Tl
0.0000 0.0000 4.0385 Tl
0.0000 0.0000 10.4120 Tl
2.6087 -1.4690 2.0528 In
2.6087 -2.2512 5.0359 In
2.6087 1.4690 2.0528 In
2.6087 3.7250 0.0000 In
0.0000 3.1695 2.1894 In
0.0000 5.4207 0.0000 In
2.6087 2.2512 5.0359 In
0.0000 1.6957 7.2252 In
0.0000 3.9518 5.1724 In
0.0000 7.6719 2.1894 In
0.0000 6.8897 5.1724 In


Ca2NbAl2 PBE relaxed; polymorph energy (0 for the lowest one) = 0.0 meV per atom; SG = P4/mbm (127); crystal system = tetragonal; calculated total energy = -41.4 eV/cell; formation enthalpy at 0 K = 0.1700 eV/atom
1.0
7.1368 0.0000 0.0000
0.0000 7.1368 0.0000
0.0000 0.0000 4.9013
Ca Nb Al
4 2 4
Cartesian
1.2565 2.3118 0.0000 Ca
2.3118 5.8802 0.0000 Ca
4.8249 1.2565 0.0000 Ca
5.8802 4.8249 0.0000 Ca
0.0000 0.0000 2.4506 Nb
3.5684 3.5684 2.4506 Nb
0.9786 4.5470 2.4506 Al
2.5898 0.9786 2.4506 Al
4.5470 6.1581 2.4506 Al
6.1581 2.5898 2.4506 Al


Rb3InRe PBE relaxed; polymorph energy (0 for the lowest one) = 0.0 meV per atom; SG = Pm-3m (221); crystal system = cubic; calculated total energy = -10.8 eV/cell; formation enthalpy at 0 K = 1.4520 eV/atom
1.0
6.6517 0.0000 0.0000
0.0000 6.6517 0.0000
0.0000 0.0000 6.6517
Rb In Re
3 1 1
Cartesian
0.0000 0.0000 3.3258 Rb
0.0000 3.3258 0.0000 Rb
3.3258 0.0000 0.0000 Rb
3.3258 3.3258 3.3258 In
0.0000 0.0000 0.0000 Re


Ac2Dy3Ni2 PBE relaxed; SG = C2/m (12); crystal system = monoclinic; calculated total energy = -35.0 eV/cell; formation enthalpy at 0 K = -0.2005 eV/atom
1.0
6.2106 -1.8944 0.0000
6.2106 1.8944 0.0000
-3.8900 0.0000 8.4010
Ac Dy Ni
2 3 2
Cartesian
0.8882 0.0000 2.5091 Ac
7.6431 0.0000 5.8919 Ac
4.4325 0.0000 0.6506 Dy
4.2656 0.0000 4.2005 Dy
4.0988 0.0000 7.7504 Dy
-0.8909 0.0000 6.1764 Ni
9.4222 0.0000 2.2246 Ni


H2Pd8Au PBE relaxed; SG = P-1 (2); crystal system = triclinic; calculated total energy = -51.8 eV/cell
1.0
2.8231 0.0000 0.0000
-0.0063 7.2073 0.0000
-1.3948 -1.7277 7.1863
H Pd Au
2 8 1
Cartesian
0.0035 -0.4877 2.2340 H
1.4185 5.9674 4.9523 H
0.0082 0.9741 1.0297 Pd
-0.0040 5.0612 3.7515 Pd
0.0084 2.4598 4.7730 Pd
0.0207 -0.1944 5.8259 Pd
1.4014 5.6740 1.3605 Pd
1.4136 3.0198 2.4133 Pd
1.4261 0.4184 3.4348 Pd
1.4138 4.5055 6.1566 Pd
-0.0031 3.6037 0.0000 Au


Ac8PIr3S4 PBE relaxed; SG = R-3m (166); formation energy from raw total energies = -1405 meV per atom; crystal system = trigonal; calculated total energy = -103.9 eV/cell
1.0
4.3301 2.5000 7.3759
-4.3301 2.5000 7.3759
0.0000 -5.0000 7.3759
Ac P Ir S
8 1 3 4
Cartesian
-2.2087 -1.2752 12.7767 Ac
0.0000 0.0000 5.4330 Ac
0.0000 -2.5504 9.3511 Ac
-2.2087 1.2752 9.3511 Ac
2.2087 -1.2752 12.7767 Ac
0.0000 2.5504 12.7767 Ac
0.0000 0.0000 16.6948 Ac
2.2087 1.2752 9.3511 Ac
0.0000 0.0000 11.0639 P
-4.3301 0.0000 11.0639 Ir
-2.1650 1.2500 3.6879 Ir
2.1651 1.2500 3.6880 Ir
0.0000 0.0000 0.0000 S
-2.1651 -1.2500 7.3759 S
-2.1650 1.2500 14.7518 S
0.0000 2.5000 7.3759 S


BPbF2 PBE relaxed; polymorph energy (0 for the lowest one) = 472.7 meV per atom; SG = Fd-3m (227); formation energy from raw total energies = -381 meV per atom; crystal system = cubic; calculated total energy = -31.3 eV/cell
1.0
0.0000 4.0023 4.0023
4.0023 0.0000 4.0023
4.0023 4.0023 0.0000
B Pb F
2 2 4
Cartesian
1.0006 1.0006 1.0006 B
7.0040 7.0040 7.0040 B
3.0017 3.0017 3.0017 Pb
5.0029 5.0029 5.0029 Pb
0.0000 0.0000 0.0000 F
2.0012 2.0012 0.0000 F
2.0012 0.0000 2.0012 F
0.0000 2.0012 2.0012 F


CdSbIr2 PBE relaxed; polymorph energy (0 for the lowest one) = 86.6 meV per atom; SG = C2/m (12); formation energy from raw total energies = 247 meV per atom; crystal system = monoclinic; calculated total energy = -21.8 eV/cell
1.0
4.4031 -1.5462 0.0000
4.4031 1.5462 0.0000
-0.9703 0.0000 5.2482
Cd Sb Ir
1 1 2
Cartesian
0.0000 0.0000 0.0000 Cd
3.9180 0.0000 2.6241 Sb
1.4697 0.0000 3.8379 Ir
6.3663 0.0000 1.4103 Ir